Below is crystalline OsAuSe4 at its relaxed geometry, with properties calculated at the PBE level.

The space group is F-43m (No. 216) and the conventional cell measures 7.883, 7.883 and 7.883 Å, with angles of 90.00, 90.00 and 90.00 degrees. The inequivalent atoms are Os at (0.000, 0.000, 0.000), Au at (0.250, 0.250, 0.250) and Se at (0.125, 0.125, 0.625).

The raw total energy is -20.10 eV per formula unit. The calculation puts the uncorrected formation energy at 1.390 eV/atom. The volume comes out at 489.8 Å³ per cell.